The following is a DFT calculation (PBE) of an optimized crystal structure of Dy2TmNb.

```
Dy2TmNb
1.0
1.643 0.948 11.482
-1.643 0.948 11.482
0.000 -1.897 11.482
Dy Tm Nb
2 1 1
Cartesian
0.000 0.000 2.892
0.000 0.000 31.553
0.000 0.000 17.223
0.000 0.000 0.000
```

Summary:
The formation enthalpy at 0 K comes out at 50 kJ per mole of atoms.

***

The following is a DFT calculation (PBE) of an optimized crystal structure of KPmGe3.

```
KPmGe3
1.0
2.376 -13.698 0.000
2.376 13.698 0.000
0.000 0.000 4.107
K Pm Ge
2 2 6
Cartesian
2.376 11.624 3.080
2.376 -11.624 1.027
2.376 8.177 1.027
2.376 -8.177 3.080
2.376 5.168 1.027
2.376 3.526 3.080
2.376 0.699 3.080
2.376 -0.699 1.027
2.376 -3.526 1.027
2.376 -5.168 3.080
```

Summary:
The formation enthalpy at 0 K comes out at -34 kJ per mole of atoms.

***

The following is a DFT calculation (PBE) of an optimized crystal structure of Cs2Cu3C3N7.

```
Cs2Cu3C3N7
1.0
8.384 -3.921 0.000
8.384 3.921 0.000
-0.677 0.000 9.012
Cs Cu C N
4 6 6 14
Cartesian
5.795 2.603 8.404
9.956 2.603 5.115
6.134 -2.603 3.898
10.295 -2.603 0.608
4.741 1.362 3.578
8.214 0.446 2.253
4.402 -1.362 8.085
11.688 1.362 0.928
7.876 -0.446 6.759
11.349 -1.362 5.434
3.292 1.139 6.598
8.214 2.318 2.253
3.630 -1.139 2.092
12.460 1.139 6.921
7.876 -2.318 6.759
12.798 -1.139 2.414
8.214 3.501 2.253
3.615 0.286 7.359
6.036 0.920 4.813
3.953 -0.286 2.852
6.707 0.517 5.676
7.045 -0.517 1.170
6.374 -0.920 0.307
9.716 0.920 8.706
9.044 0.517 7.842
9.383 -0.517 3.336
12.137 0.286 6.160
10.054 -0.920 4.199
12.475 -0.286 1.654
7.876 -3.501 6.759
```

***

The following is a DFT calculation (PBE) of an optimized crystal structure of Cs5Li3Hg12.

```
Cs5Li3Hg12
1.0
-9.838 9.838 9.838
9.838 -9.838 9.838
9.838 9.838 -9.838
Cs Li Hg
20 12 48
Cartesian
0.000 0.000 0.000
4.919 4.919 -4.919
4.919 -4.919 4.919
9.838 0.000 0.000
14.757 2.460 0.000
9.838 -4.919 7.379
7.379 9.838 -4.919
7.379 0.000 4.919
4.919 7.379 0.000
9.838 4.919 2.460
-4.919 4.919 4.919
0.000 9.838 0.000
0.000 0.000 9.838
4.919 4.919 4.919
0.000 4.919 7.379
4.919 2.460 9.838
2.460 9.838 4.919
2.460 0.000 14.757
0.000 14.757 2.460
-4.919 7.379 9.838
4.919 2.460 0.000
9.838 4.919 -2.460
2.460 0.000 4.919
12.298 0.000 4.919
0.000 4.919 2.460
4.919 -2.460 9.838
4.919 12.298 0.000
9.838 4.919 7.379
-2.460 9.838 4.919
7.379 9.838 4.919
0.000 4.919 12.298
4.919 7.379 9.838
9.899 -2.091 2.856
14.697 -2.063 2.828
12.695 -0.060 2.091
11.901 -2.828 4.859
2.856 0.060 2.091
11.901 7.011 -4.859
7.011 4.859 -2.063
7.747 2.856 -0.060
2.091 2.856 0.060
12.666 4.979 -2.063
9.899 7.747 -2.856
4.859 2.063 2.828
0.060 2.091 2.856
4.859 -2.063 7.011
2.828 4.859 2.063
11.930 6.982 -0.060
7.747 -2.856 9.899
7.011 -4.859 11.901
2.063 2.828 4.859
2.856 -0.060 7.747
2.856 9.899 -2.091
11.901 2.828 4.979
4.859 11.901 -2.828
9.899 2.091 6.982
-0.060 7.747 2.856
4.979 -2.063 12.666
-2.063 7.011 4.859
6.982 -0.060 11.930
6.982 9.899 2.091
7.775 7.011 4.979
2.828 14.697 -2.063
2.091 12.695 -0.060
-2.091 2.856 9.899
7.011 4.979 7.775
4.979 11.901 2.828
9.778 7.747 6.982
4.979 7.775 7.011
-0.060 2.091 12.695
-2.828 4.859 11.901
7.747 6.982 9.778
2.091 6.982 9.899
2.828 4.979 11.901
-2.063 2.828 14.697
6.982 9.778 7.747
-2.063 12.666 4.979
-2.856 9.899 7.747
-4.859 11.901 7.011
-0.060 11.930 6.982
```

Summary:
The formation enthalpy at 0 K comes out at -11 kJ per mole of atoms.

***

The following is a DFT calculation (PBE) of an optimized crystal structure of HgSbPbI2.

```
HgSbPbI2
1.0
6.270 0.000 0.000
0.000 6.270 0.000
0.000 0.000 6.151
Hg Sb Pb I
1 1 1 2
Cartesian
0.000 0.000 0.000
3.135 3.135 0.000
3.135 3.135 3.076
0.000 3.135 3.076
3.135 0.000 3.076
```

Summary:
Its relative energy among the computed polymorphs is 0 meV per atom.

***

The following is a DFT calculation (PBE) of an optimized crystal structure of Ti2CuPd8.

```
Ti2CuPd8
1.0
6.986 -1.993 0.000
6.986 1.993 0.000
-1.821 0.000 6.016
Ti Cu Pd
2 1 8
Cartesian
2.751 0.000 0.982
9.400 0.000 5.034
6.075 0.000 3.008
0.171 0.000 1.398
0.786 0.000 4.242
3.447 0.000 3.519
5.521 0.000 0.265
6.630 0.000 5.751
8.704 0.000 2.497
11.364 0.000 1.773
11.980 0.000 4.618
```

Summary:
Its relative energy among the computed polymorphs is 0 meV per atom. The formation enthalpy at 0 K comes out at -41 kJ per mole of atoms.

***

no.,DFT total energy (hartree per atom)
1,-0.1993
2,-0.1578
3,-0.2426
4,-0.0291
5,-0.0761
6,-0.2208